No. 1
## CaZr2Cu (PBE)

Data for a geometry-optimized CaZr2Cu structure.

Cell: 3.310 3.311 9.146 Å, 68.77 90.00 90.00°
Fractional positions:
Ca 0.000 0.456 0.544
Cu 0.500 0.715 0.785
Zr 0.000 0.035 0.965
Zr 0.500 0.294 0.205

- size of the total moment (Bohr magnetons per cell) = 0.0
- V (A^3/atom) = 23.4
- distance to the lowest polymorph of the same formula (eV/atom) = 0.0000
- E_tot (eV/atom) = -5.787
- crystal system = tetragonal

***

No. 2
## Sr2FePt2 (PBE)

Data for a geometry-optimized Sr2FePt2 structure.

Cell: 3.781 3.781 9.566 Å, 78.60 78.60 90.00°
Last column: magnetic moment on the atom in μB.
Fractional positions:
Sr 0.385 0.385 0.230  -0.06
Sr 0.615 0.615 0.770  -0.06
Fe 0.000 0.000 0.000  2.91
Pt 0.750 0.250 0.500  -0.01
Pt 0.250 0.750 0.500  -0.01

- size of the total moment (Bohr magnetons per cell) = 2.4
- V (A^3/atom) = 26.3
- E_tot (eV/atom) = -4.702
- crystal system = tetragonal

***

No. 3
## KCdMo2 (PBE)

Data for a geometry-optimized KCdMo2 structure.

Cell: 2.768 4.871 7.410 Å, 90.00 90.00 90.00°
Fractional positions:
Cd 0.500 0.500 0.250
K 0.500 0.500 0.750
Mo 0.000 0.000 0.096
Mo 0.000 0.000 0.404

- size of the total moment (Bohr magnetons per cell) = 0.0
- V (A^3/atom) = 25.0
- E_tot (eV/atom) = -4.952
- crystal system = orthorhombic

***

No. 4
## Sc5Tl4Sn (PBE)

Data for a geometry-optimized Sc5Tl4Sn structure.

Cell: 3.437 3.437 19.802 Å, 90.00 90.00 90.00°
Last column: magnetic moment on the atom in μB.
Fractional positions:
Sc 0.500 0.500 0.098  0.23
Sc 0.500 0.500 0.300  -0.25
Sc 0.500 0.500 0.500  0.20
Sc 0.500 0.500 0.700  -0.25
Sc 0.500 0.500 0.902  0.23
Tl 0.000 0.000 0.201  0.00
Tl 0.000 0.000 0.400  0.00
Tl 0.000 0.000 0.600  0.00
Tl 0.000 0.000 0.799  0.00
Sn 0.000 0.000 0.000  -0.01

- size of the total moment (Bohr magnetons per cell) = 0.3
- V (A^3/atom) = 23.4
- E_tot (eV/atom) = -4.821
- crystal system = tetragonal

***

No. 5
## SmCuGe3 (PBE)

Data for a geometry-optimized SmCuGe3 structure.

Cell: 4.219 4.272 11.053 Å, 101.14 90.00 90.00°
Fractional positions:
Sm 0.500 0.832 0.664
Sm 0.500 0.168 0.336
Cu 0.000 0.612 0.224
Cu 0.000 0.388 0.776
Ge 0.000 0.057 0.115
Ge 0.000 0.943 0.885
Ge 0.000 0.280 0.559
Ge 0.000 0.720 0.441
Ge 0.500 0.443 0.886
Ge 0.500 0.557 0.114

- size of the total moment (Bohr magnetons per cell) = 0.0
- V (A^3/atom) = 19.5
- E_tot (eV/atom) = -4.949
- crystal system = orthorhombic

***

No. 6
## Er4Tl2Ni (PBE)

Data for a geometry-optimized Er4Tl2Ni structure.

Cell: 3.652 9.170 8.549 Å, 136.69 90.00 90.00°
Fractional positions:
Er 0.500 0.942 0.777
Er 0.000 0.472 0.260
Er 0.500 0.201 0.366
Er 0.000 0.671 0.883
Tl 0.500 0.325 0.823
Tl 0.500 0.819 0.320
Ni 0.000 0.071 0.071

- size of the total moment (Bohr magnetons per cell) = 0.0
- V (A^3/atom) = 28.1
- E_tot (eV/atom) = -4.301
- crystal system = monoclinic

***

No. 7
## BiOsNF2 (PBE)

Data for a geometry-optimized BiOsNF2 structure.

Cell: 4.449 4.449 4.719 Å, 90.00 90.00 90.00°
Last column: magnetic moment on the atom in μB.
Fractional positions:
N 0.000 0.000 0.500  0.10
Os 0.500 0.500 0.500  3.37
Bi 0.000 0.000 0.000  0.00
F 0.000 0.500 0.000  0.03
F 0.500 0.000 0.000  0.03

- size of the total moment (Bohr magnetons per cell) = 4.1
- formation energy (no corrections) (eV per atom) = 0.764
- V (A^3/atom) = 18.7
- distance to the lowest polymorph of the same formula (eV/atom) = 0.9630
- E_tot (eV/atom) = -4.672
- crystal system = tetragonal

***

No. 8
## La2YAlC (PBE)

Data for a geometry-optimized La2YAlC structure.

Cell: 5.195 5.195 4.939 Å, 90.00 90.00 90.00°
Fractional positions:
Y 0.000 0.000 0.500
C 0.000 0.000 0.000
Al 0.500 0.500 0.500
La 0.000 0.500 0.000
La 0.500 0.000 0.000

- size of the total moment (Bohr magnetons per cell) = 0.0
- V (A^3/atom) = 26.7
- E_tot (eV/atom) = -6.096
- crystal system = tetragonal

***

No. 9
## CrFe4Ag (PBE)

Data for a geometry-optimized CrFe4Ag structure.

Cell: 4.793 4.793 4.793 Å, 60.00 60.00 60.00°
Last column: magnetic moment on the atom in μB.
Fractional positions:
Cr 0.000 0.000 0.000  -2.89
Fe 0.874 0.375 0.375  2.23
Fe 0.375 0.375 0.874  2.23
Fe 0.375 0.874 0.375  2.23
Fe 0.375 0.375 0.375  2.23
Ag 0.750 0.750 0.750  0.04

- size of the total moment (Bohr magnetons per cell) = 5.9
- V (A^3/atom) = 13.0
- E_tot (eV/atom) = -7.498
- crystal system = cubic

***

No. 10
## PrTm2MgPd4 (PBE)

Data for a geometry-optimized PrTm2MgPd4 structure.

Cell: 4.804 4.804 8.788 Å, 74.14 74.14 60.00°
Fractional positions:
Pr 0.000 0.000 0.000
Tm 0.758 0.758 0.725
Tm 0.242 0.242 0.275
Mg 0.500 0.500 0.500
Pd 0.390 0.390 0.831
Pd 0.873 0.873 0.382
Pd 0.127 0.127 0.618
Pd 0.610 0.610 0.169

- size of the total moment (Bohr magnetons per cell) = 0.0
- V (A^3/atom) = 20.8
- E_tot (eV/atom) = -5.322
- crystal system = trigonal

***

No. 11
## CaSi2H (PBE)

Data for a geometry-optimized CaSi2H structure.

Cell: 6.626 3.834 11.108 Å, 90.00 102.00 90.00°
Fractional positions:
Ca 0.895 0.000 0.926
Ca 0.895 0.500 0.426
Ca 0.352 0.000 0.421
Ca 0.352 0.500 0.921
Si 0.278 0.000 0.130
Si 0.278 0.500 0.630
Si 0.780 0.000 0.622
Si 0.780 0.500 0.122
Si 0.478 0.000 0.707
Si 0.478 0.500 0.207
Si 0.970 0.000 0.212
Si 0.970 0.500 0.712
H 0.517 0.000 0.856
H 0.517 0.500 0.356
H 0.060 0.000 0.492
H 0.060 0.500 0.992

- size of the total moment (Bohr magnetons per cell) = 0.0
- V (A^3/atom) = 17.3
- distance to the lowest polymorph of the same formula (eV/atom) = 0.0241
- E_tot (eV/atom) = -4.305
- crystal system = monoclinic

***

No. 12
## Nd2Y4Tm (PBE)

Data for a geometry-optimized Nd2Y4Tm structure.

Cell: 6.837 6.837 6.837 Å, 103.29 103.29 122.71°
Fractional positions:
Nd 0.250 0.750 0.500
Nd 0.750 0.250 0.500
Y 0.199 0.199 0.398
Y 0.801 0.199 0.000
Y 0.199 0.801 0.000
Y 0.801 0.801 0.602
Tm 0.500 0.500 0.000

- size of the total moment (Bohr magnetons per cell) = 0.0
- V (A^3/atom) = 33.7
- distance to the lowest polymorph of the same formula (eV/atom) = 0.1501
- E_tot (eV/atom) = -5.427
- crystal system = tetragonal

***

No. 13
## MnAlCu (PBE)

Data for a geometry-optimized MnAlCu structure.

Cell: 2.772 2.772 9.576 Å, 90.00 90.00 90.00°
Fractional positions:
Mn 0.000 0.500 0.567
Mn 0.500 0.000 0.433
Al 0.000 0.500 0.261
Al 0.500 0.000 0.739
Cu 0.500 0.000 0.085
Cu 0.000 0.500 0.915

- size of the total moment (Bohr magnetons per cell) = 0.0
- V (A^3/atom) = 12.3
- E_tot (eV/atom) = -5.877
- crystal system = tetragonal

***

No. 14
## Hf2GaCo (PBE)

Data for a geometry-optimized Hf2GaCo structure.

Cell: 3.193 3.193 6.729 Å, 90.00 90.00 90.00°
Last column: magnetic moment on the atom in μB.
Fractional positions:
Co 0.500 0.500 0.000  0.98
Hf 0.000 0.000 0.769  0.07
Hf 0.000 0.000 0.231  0.07
Ga 0.500 0.500 0.500  0.03

- size of the total moment (Bohr magnetons per cell) = 1.2
- V (A^3/atom) = 17.2
- E_tot (eV/atom) = -7.856
- crystal system = tetragonal

***

No. 15
## HoHf2Mo (PBE)

Data for a geometry-optimized HoHf2Mo structure.

Cell: 3.398 3.398 7.785 Å, 90.00 90.00 90.00°
Fractional positions:
Mo 0.500 0.500 0.000
Hf 0.000 0.000 0.804
Hf 0.000 0.000 0.196
Ho 0.500 0.500 0.500

- size of the total moment (Bohr magnetons per cell) = 0.0
- V (A^3/atom) = 22.5
- distance to the lowest polymorph of the same formula (eV/atom) = 0.0000
- E_tot (eV/atom) = -8.784
- crystal system = tetragonal

***

No. 16
## PuTe3 (PBE)

Data for a geometry-optimized PuTe3 structure.

Cell: 4.370 4.371 13.301 Å, 90.00 99.45 90.00°
Last column: magnetic moment on the atom in μB.
Fractional positions:
Te 0.921 0.250 0.842  0.05
Te 0.079 0.750 0.158  0.05
Te 0.579 0.250 0.158  0.05
Te 0.421 0.750 0.842  0.05
Te 0.296 0.250 0.591  0.16
Te 0.704 0.750 0.409  0.16
Pu 0.173 0.250 0.345  -5.14
Pu 0.827 0.750 0.655  -5.14

- size of the total moment (Bohr magnetons per cell) = 9.9
- formation energy (no corrections) (eV per atom) = -0.722
- V (A^3/atom) = 31.3
- E_tot (eV/atom) = -6.661
- crystal system = orthorhombic

***

No. 17
## ZrAs2H (PBE)

Data for a geometry-optimized ZrAs2H structure.

Cell: 6.215 6.215 5.436 Å, 55.14 55.14 90.00°
Fractional positions:
H 0.500 0.500 0.000
H 0.250 0.750 0.500
As 0.526 0.125 0.250
As 0.224 0.625 0.250
As 0.375 0.474 0.750
As 0.875 0.776 0.750
Zr 0.000 0.000 0.000
Zr 0.750 0.250 0.500

- size of the total moment (Bohr magnetons per cell) = 0.0
- V (A^3/atom) = 15.5
- distance to the lowest polymorph of the same formula (eV/atom) = 0.0000
- E_tot (eV/atom) = -5.472
- crystal system = tetragonal

***

No. 18
## Y2TaGa2 (PBE)

Data for a geometry-optimized Y2TaGa2 structure.

Cell: 8.453 8.453 3.154 Å, 90.00 90.00 90.00°
Fractional positions:
Y 0.368 0.868 0.000
Y 0.868 0.632 0.000
Y 0.632 0.132 0.000
Y 0.132 0.368 0.000
Ga 0.170 0.670 0.500
Ga 0.670 0.830 0.500
Ga 0.830 0.330 0.500
Ga 0.330 0.170 0.500
Ta 0.000 0.000 0.000
Ta 0.500 0.500 0.000

- size of the total moment (Bohr magnetons per cell) = 0.0
- V (A^3/atom) = 22.5
- distance to the lowest polymorph of the same formula (eV/atom) = 0.5044
- E_tot (eV/atom) = -5.935
- crystal system = tetragonal

***

No. 19
## CrTcOs4 (PBE)

Data for a geometry-optimized CrTcOs4 structure.

Cell: 5.086 5.086 5.086 Å, 60.00 60.00 60.00°
Last column: magnetic moment on the atom in μB.
Fractional positions:
Cr 0.000 0.000 0.000  2.67
Tc 0.750 0.750 0.750  -0.14
Os 0.876 0.375 0.375  -0.10
Os 0.375 0.375 0.876  -0.10
Os 0.375 0.876 0.375  -0.10
Os 0.375 0.375 0.375  -0.10

- size of the total moment (Bohr magnetons per cell) = 2.3
- V (A^3/atom) = 15.5
- E_tot (eV/atom) = -10.185
- crystal system = cubic

***

No. 20
## NaGeRu (PBE)

Data for a geometry-optimized NaGeRu structure.

Cell: 4.387 12.139 4.435 Å, 90.00 90.00 90.00°
Fractional positions:
Na 0.000 0.578 0.250
Na 0.000 0.422 0.750
Na 0.500 0.078 0.250
Na 0.500 0.922 0.750
Ge 0.000 0.837 0.250
Ge 0.000 0.163 0.750
Ge 0.500 0.337 0.250
Ge 0.500 0.663 0.750
Ru 0.000 0.254 0.250
Ru 0.000 0.746 0.750
Ru 0.500 0.754 0.250
Ru 0.500 0.246 0.750

- size of the total moment (Bohr magnetons per cell) = 0.0
- V (A^3/atom) = 19.7
- E_tot (eV/atom) = -5.190
- crystal system = orthorhombic